This record from Alexandria via LeMat-Bulk describes Dy2TaZn2Rh5 after structural relaxation. The functional is GGA-PBE.

The structure in POSCAR format:
```
Dy2TaZn2Rh5
1.0
9.8263 0.0000 0.0000
0.0000 9.8263 0.0000
0.0000 0.0000 3.5273
Dy Ta Zn Rh
4 2 4 10
Direct
0.1712 0.3288 0.0000
0.3288 0.8288 0.0000
0.6712 0.1712 0.0000
0.8288 0.6712 0.0000
0.0000 0.0000 0.0000
0.5000 0.5000 0.0000
0.1261 0.6261 0.0000
0.3739 0.1261 0.0000
0.6261 0.8739 0.0000
0.8739 0.3739 0.0000
0.0000 0.5000 0.5000
0.0660 0.8016 0.5000
0.1984 0.0660 0.5000
0.3016 0.5660 0.5000
0.4340 0.3016 0.5000
0.5000 0.0000 0.5000
0.5660 0.6984 0.5000
0.6984 0.4340 0.5000
0.8016 0.9340 0.5000
0.9340 0.1984 0.5000
```

Output
space group = No. 127
formation energy from the elements = -0.652 eV/atom

=====

This record from Alexandria via LeMat-Bulk describes YP2SCl after structural relaxation. The functional is GGA-PBE.

The structure in POSCAR format:
```
YP2SCl
1.0
4.5709 0.0000 0.0000
0.0000 4.5709 0.0000
0.0000 0.0000 4.8468
Y P S Cl
1 2 1 1
Direct
0.0000 0.0000 0.0000
0.0000 0.5000 0.5000
0.5000 0.0000 0.5000
0.5000 0.5000 0.5000
0.5000 0.5000 0.0000
```

Output
space group = No. 123
uncorrected formation energy = -0.0646 eV per atom
relative energy among the computed polymorphs = 0.0 meV/atom

=====

This record from Alexandria via LeMat-Bulk describes ZnFePd2 after structural relaxation. The functional is GGA-PBE.

The structure in POSCAR format:
```
ZnFePd2
1.0
-1.9134 1.9134 8.6762
1.9134 -1.9134 8.6762
1.9134 1.9134 -8.6762
Zn Fe Pd
2 2 4
Direct
0.0000 0.0000 0.0000
0.7500 0.2500 0.5000
0.2500 0.7500 0.5000
0.5000 0.5000 0.0000
0.1252 0.6250 0.0002
0.3750 0.3752 0.5002
0.6248 0.1250 0.9998
0.8750 0.8748 0.4998
```

Output
space group = No. 122
formation energy from the elements = 0.167 eV/atom

=====

This record from Alexandria via LeMat-Bulk describes ZnW3 after structural relaxation. The functional is GGA-PBE.

The structure in POSCAR format:
```
ZnW3
1.0
4.6688 -1.3358 0.0000
4.6688 1.3358 0.0000
-0.5141 0.0000 5.0971
Zn W
1 3
Direct
0.0000 0.0000 0.0000
0.2537 0.2537 0.7550
0.5000 0.5000 0.5000
0.7463 0.7463 0.2450
```

Output
space group = No. 12
relative energy among the computed polymorphs = 212.7 meV/atom
formation energy from the elements = 0.362 eV/atom

=====

This record from Alexandria via LeMat-Bulk describes ZnCd after structural relaxation. The functional is GGA-PBE.

The structure in POSCAR format:
```
ZnCd
1.0
7.8886 0.0000 0.0000
-3.9443 6.8317 0.0000
0.0000 0.0000 4.8374
Zn Cd
6 6
Direct
0.0164 0.4339 0.2500
0.4175 0.9836 0.2500
0.4339 0.4175 0.7500
0.5661 0.5825 0.2500
0.5825 0.0164 0.7500
0.9836 0.5661 0.7500
0.0057 0.2382 0.7500
0.2325 0.9943 0.7500
0.2382 0.2325 0.2500
0.7618 0.7675 0.7500
0.7675 0.0057 0.2500
0.9943 0.7618 0.2500
```

Output
space group = No. 176
formation energy from the elements = 0.145 eV/atom

=====

This record from Alexandria via LeMat-Bulk describes LiSmEr4Se8 after structural relaxation. The functional is GGA-PBE.

The structure in POSCAR format:
```
LiSmEr4Se8
1.0
4.1541 2.3984 6.8692
-4.1541 2.3984 6.8692
0.0000 -4.7968 6.8692
Li Sm Er Se
1 1 4 8
Direct
0.0000 0.0000 0.0000
0.3698 0.3698 0.3698
0.3692 0.3692 0.8904
0.3692 0.8904 0.3692
0.7484 0.7484 0.7484
0.8904 0.3692 0.3692
0.1258 0.1258 0.6099
0.1258 0.6099 0.1258
0.1306 0.1306 0.1306
0.1472 0.6210 0.6210
0.6099 0.1258 0.1258
0.6156 0.6156 0.6156
0.6210 0.1472 0.6210
0.6210 0.6210 0.1472
```

Output
space group = No. 160
uncorrected formation energy = -1.7712 eV per atom

=====

no.,mass density (Mg/m³)
1,11.2
2,3.6
3,8.7
4,16.1
5,6.8
6,5.9